Below is an optimized crystal structure of NiAsRuS2, with properties calculated at the PBE-GGA level.

Output
Its crystal system is tetragonal. The value obtained for the energy relative to the elements, uncorrected is 4.3 eV/f.u.

Unit cell a=4.2662 b=4.8669 c=4.2662 alpha=90.00 beta=90.00 gamma=90.00
Atoms (fractional coordinates):
S1 0.0000 0.0000 0.5000
S2 0.5000 0.0000 0.0000
Ru1 0.0000 0.5000 0.0000
As1 0.5000 0.5000 0.5000
Ni1 0.0000 0.0000 0.0000

Below is an optimized crystal structure of MnTlAu, with properties calculated at the PBE-GGA level.

Output
The energy of formation from the pure elements is 0.297 eV per atom. Its crystal system is trigonal.

Unit cell a=4.5521 b=4.5521 c=3.4716 alpha=90.00 beta=90.00 gamma=120.00
Atoms (fractional coordinates):
Au1 0.0000 0.0000 0.0629
Mn1 0.6667 0.3333 0.2674
Tl1 0.3333 0.6667 0.6697

Below is an optimized crystal structure of CaTi2Ge2, with properties calculated at the PBE-GGA level.

Output
The energy of formation from the pure elements is -0.359 eV per atom. Its crystal system is tetragonal. The energy above the most stable polymorph in this dataset is 149.4 meV per atom.

Unit cell a=7.9639 b=7.9639 c=2.9131 alpha=90.00 beta=90.00 gamma=90.00
Atoms (fractional coordinates):
Ge1 0.6743 0.8257 0.5000
Ge2 0.8257 0.3257 0.5000
Ge3 0.3257 0.1743 0.5000
Ge4 0.1743 0.6743 0.5000
Ca1 0.0000 0.0000 0.0000
Ca2 0.5000 0.5000 0.0000
Ti1 0.1178 0.3822 0.0000
Ti2 0.6178 0.1178 0.0000
Ti3 0.3822 0.8822 0.0000
Ti4 0.8822 0.6178 0.0000

Below is an optimized crystal structure of AlInIr2, with properties calculated at the PBE-GGA level.

Output
The energy of formation from the pure elements is -0.148 eV per atom. Its crystal system is tetragonal.

Unit cell a=5.0641 b=5.0641 c=5.0641 alpha=135.17 beta=135.17 gamma=65.27
Atoms (fractional coordinates):
Al1 0.5000 0.5000 0.0000
In1 0.7500 0.2500 0.5000
Ir1 0.0000 0.0000 0.0000
Ir2 0.2500 0.7500 0.5000

Below is an optimized crystal structure of Ac2Sn3Pd4Rh, with properties calculated at the PBE-GGA level.

Output
The energy of formation from the pure elements is -0.697 eV per atom. Its crystal system is tetragonal.

Unit cell a=4.4782 b=4.4782 c=11.4564 alpha=90.00 beta=90.00 gamma=90.00
Atoms (fractional coordinates):
Pd1 0.0000 0.5000 0.3585
Pd2 0.5000 0.0000 0.6415
Pd3 0.5000 0.5000 0.0000
Pd4 0.0000 0.0000 0.0000
Ac1 0.0000 0.5000 0.7335
Ac2 0.5000 0.0000 0.2665
Sn1 0.0000 0.5000 0.1263
Sn2 0.5000 0.0000 0.8737
Sn3 0.0000 0.0000 0.5000
Rh1 0.5000 0.5000 0.5000

Below is an optimized crystal structure of Tc4HgSb, with properties calculated at the PBE-GGA level.

Output
Its crystal system is cubic. The value obtained for the energy relative to the elements, uncorrected is 3.6 eV/f.u.

Unit cell a=5.2886 b=5.2886 c=5.2886 alpha=60.00 beta=60.00 gamma=60.00
Atoms (fractional coordinates):
Tc1 0.3750 0.8749 0.3750
Tc2 0.3750 0.3750 0.8749
Tc3 0.3750 0.3750 0.3750
Tc4 0.8749 0.3750 0.3750
Hg1 0.7500 0.7500 0.7500
Sb1 0.0000 0.0000 0.0000

Below is an optimized crystal structure of NaAl2F6, with properties calculated at the PBE-GGA level.

Output
Its crystal system is trigonal. The value obtained for the energy relative to the elements, uncorrected is -26.7 eV/f.u. The energy above the most stable polymorph in this dataset is 14.6 meV per atom.

Unit cell a=5.1399 b=5.1399 c=6.3961 alpha=66.31 beta=66.31 gamma=60.00
Atoms (fractional coordinates):
F1 0.6028 0.8583 0.3126
F2 0.2262 0.6028 0.3126
F3 0.1145 0.7108 0.6766
F4 0.7108 0.4980 0.6766
F5 0.8583 0.2262 0.3126
F6 0.4980 0.1145 0.6766
Na1 0.3166 0.3166 0.0503
Al1 0.5061 0.5061 0.4817
Al2 0.8322 0.8322 0.5034

Below is an optimized crystal structure of Y3TlRu2, with properties calculated at the PBE-GGA level.

Output
The energy of formation from the pure elements is -0.377 eV per atom. Its crystal system is tetragonal.

Unit cell a=3.4536 b=3.4536 c=11.3691 alpha=90.00 beta=90.00 gamma=90.00
Atoms (fractional coordinates):
Ru1 0.5000 0.5000 0.8459
Ru2 0.5000 0.5000 0.1541
Tl1 0.5000 0.5000 0.5000
Y1 0.0000 0.0000 0.0000
Y2 0.0000 0.0000 0.2939
Y3 0.0000 0.0000 0.7061

Below is an optimized crystal structure of AlCdAu2, with properties calculated at the PBE-GGA level.

Output
The energy of formation from the pure elements is -0.193 eV per atom. Its crystal system is monoclinic. The energy above the most stable polymorph in this dataset is 73.6 meV per atom.

Unit cell a=5.0526 b=5.0526 c=4.6394 alpha=76.47 beta=76.47 gamma=40.04
Atoms (fractional coordinates):
Al1 0.2582 0.2582 0.1920
Au1 0.9882 0.9882 0.0489
Au2 0.7519 0.7519 0.7294
Cd1 0.5017 0.5017 0.5296

Below is an optimized crystal structure of TbPm5Sm2Y, with properties calculated at the PBE-GGA level.

Output
The energy of formation from the pure elements is 0.277 eV per atom. Its crystal system is tetragonal.

Unit cell a=8.7017 b=8.7017 c=10.1831 alpha=115.29 beta=115.29 gamma=90.00
Atoms (fractional coordinates):
Pm1 0.0696 0.5696 0.7194
Pm2 0.3502 0.8502 0.2806
Pm3 0.8502 0.9304 0.2806
Pm4 0.6498 0.1498 0.7194
Pm5 0.4304 0.3502 0.2806
Pm6 0.0000 0.0000 0.0000
Pm7 0.1498 0.0696 0.7194
Pm8 0.5696 0.6498 0.7194
Pm9 0.5000 0.5000 0.0000
Pm10 0.9304 0.4304 0.2806
Sm1 0.6197 0.1197 0.0000
Sm2 0.3803 0.8803 0.0000
Sm3 0.1197 0.3803 0.0000
Sm4 0.8803 0.6197 0.0000
Y1 0.2500 0.2500 0.5000
Y2 0.7500 0.7500 0.5000
Tb1 0.7500 0.2500 0.5000
Tb2 0.2500 0.7500 0.5000

Below is an optimized crystal structure of Nd6CoRh2Cl3, with properties calculated at the PBE-GGA level.

Output
Its crystal system is monoclinic. The value obtained for the energy relative to the elements, uncorrected is -12.7 eV/f.u.

Unit cell a=7.0174 b=7.0174 c=7.9173 alpha=98.45 beta=98.45 gamma=120.06
Atoms (fractional coordinates):
Cl1 0.1620 0.8380 0.5000
Cl2 0.5000 0.5000 0.5000
Cl3 0.8380 0.1620 0.5000
Nd1 0.7443 0.7443 0.2031
Nd2 0.6099 0.9325 0.7970
Nd3 0.3901 0.0675 0.2030
Nd4 0.0675 0.3901 0.2030
Nd5 0.9325 0.6099 0.7970
Nd6 0.2557 0.2557 0.7969
Rh1 0.3330 0.6670 0.0000
Rh2 0.6670 0.3330 0.0000
Co1 0.0000 0.0000 0.0000

Below is an optimized crystal structure of Sm2AlInGe, with properties calculated at the PBE-GGA level.

Output
The energy of formation from the pure elements is -0.539 eV per atom. Its crystal system is monoclinic.

Unit cell a=4.5636 b=7.7330 c=7.4176 alpha=90.02 beta=90.00 gamma=90.00
Atoms (fractional coordinates):
Sm1 0.7500 0.7832 0.5035
Sm2 0.7500 0.7827 0.9967
Sm3 0.2500 0.2168 0.4965
Sm4 0.2500 0.2173 0.0033
Al1 0.2500 0.5899 0.7494
Al2 0.7500 0.4101 0.2506
Ge1 0.2500 0.9135 0.7502
Ge2 0.7500 0.0865 0.2498
In1 0.7500 0.3992 0.7498
In2 0.2500 0.6008 0.2502